*A*
Here is PuZrSc after structural relaxation from Alexandria via LeMat-Bulk. Energies are from GGA-PBE.

Structure (CIF):
```
data_PuZrSc
_cell_length_a 2.754
_cell_length_b 16.262
_cell_length_c 5.791
_cell_angle_alpha 90.00
_cell_angle_beta 90.00
_cell_angle_gamma 90.00
_symmetry_space_group_name_H-M 'C m c 21'
_symmetry_Int_Tables_number 36
loop_
_symmetry_equiv_pos_as_xyz
'x,y,z'
'-x,-y,z+1/2'
'-x,y,z'
'x,-y,z+1/2'
'x+1/2,y+1/2,z'
'-x+1/2,-y+1/2,z+1/2'
'-x+1/2,y+1/2,z'
'x+1/2,-y+1/2,z+1/2'
loop_
_atom_site_label
_atom_site_type_symbol
_atom_site_fract_x
_atom_site_fract_y
_atom_site_fract_z
Pu1 Pu 0.000 0.247 0.000
Zr1 Zr 0.000 0.405 0.728
Sc1 Sc 0.000 0.406 0.239
```

Results
DOS(E_F): 2.50 states/eV/atom

*B*
Here is PuZrSc after structural relaxation from Alexandria via LeMat-Bulk. Energies are from GGA-PBE.

Structure (CIF):
```
data_PuZrSc
_cell_length_a 14.184
_cell_length_b 3.239
_cell_length_c 6.488
_cell_angle_alpha 90.00
_cell_angle_beta 103.33
_cell_angle_gamma 90.00
_symmetry_space_group_name_H-M 'C 1 2/m 1'
_symmetry_Int_Tables_number 12
loop_
_symmetry_equiv_pos_as_xyz
'x,y,z'
'-x,-y,-z'
'-x,y,-z'
'x,-y,z'
'x+1/2,y+1/2,z'
'-x+1/2,-y+1/2,-z'
'-x+1/2,y+1/2,-z'
'x+1/2,-y+1/2,z'
loop_
_atom_site_label
_atom_site_type_symbol
_atom_site_fract_x
_atom_site_fract_y
_atom_site_fract_z
Pu1 Pu 0.000 0.000 0.244
Zr1 Zr 0.169 0.500 0.081
Sc1 Sc 0.169 0.500 0.587
```

Results
DOS(E_F): 2.46 states/eV/atom

Name the least stable of them. *A*.